AlRuBr (PBE-GGA, optimized geometry); ρ = 6.10 Mg/m³; crystal system = cubic; formation energy (no corrections) = 0.418 eV per atom; energy above the lowest structure with this stoichiometry = 314 meV per atom; uncorrected energy = -4.479 eV per atom
1.0
4.310 0.000 0.000
2.155 3.733 0.000
2.155 1.244 3.519
Br Ru Al
1 1 1
direct
0.500 0.500 0.500
0.750 0.750 0.750
0.000 0.000 0.000

***

AlRu2Br (PBE-GGA, optimized geometry); ρ = 7.61 Mg/m³; crystal system = monoclinic; formation energy (no corrections) = 0.093 eV per atom; energy above the lowest structure with this stoichiometry = 0 meV per atom; uncorrected energy = -5.898 eV per atom
1.0
2.983 0.000 0.000
0.000 2.989 0.007
0.000 2.967 7.571
Ru Al Br
2 1 1
direct
0.000 0.834 0.041
0.500 0.125 0.250
0.000 0.424 0.452
0.500 0.116 0.758

***

AlRu2Br (PBE-GGA, optimized geometry); ρ = 8.51 Mg/m³; crystal system = tetragonal; formation energy (no corrections) = 0.218 eV per atom; energy above the lowest structure with this stoichiometry = 125 meV per atom; uncorrected energy = -5.774 eV per atom
1.0
-2.724 1.393 -0.298
-1.424 -2.649 0.634
0.064 1.452 6.214
Br Ru Al
1 2 1
direct
0.500 0.500 0.750
0.000 0.000 0.022
0.000 0.000 0.478
0.500 0.500 0.250

***

AlRu2Br (PBE-GGA, optimized geometry); ρ = 8.12 Mg/m³; crystal system = orthorhombic; formation energy (no corrections) = 0.488 eV per atom; energy above the lowest structure with this stoichiometry = 395 meV per atom; uncorrected energy = -5.504 eV per atom
1.0
2.932 0.000 0.000
0.000 5.004 0.000
0.000 0.000 4.309
Al Br Ru
1 1 2
direct
0.500 0.000 0.500
0.000 0.500 0.500
0.000 0.000 0.000
0.500 0.500 0.000

***

AlRu2Br (PBE-GGA, optimized geometry); ρ = 6.03 Mg/m³; crystal system = tetragonal; formation energy (no corrections) = 0.862 eV per atom; energy above the lowest structure with this stoichiometry = 769 meV per atom; uncorrected energy = -5.130 eV per atom
1.0
5.583 0.000 0.000
0.000 5.583 0.000
2.792 2.792 5.458
Br Ru Al
2 4 2
direct
0.750 0.250 0.500
0.000 0.000 0.000
0.375 0.374 0.750
0.124 0.625 0.250
0.875 0.876 0.750
0.626 0.125 0.250
0.500 0.500 0.000
0.250 0.750 0.500

***

Al2RuBr (PBE-GGA, optimized geometry); ρ = 4.66 Mg/m³; crystal system = monoclinic; formation energy (no corrections) = -0.349 eV per atom; energy above the lowest structure with this stoichiometry = 61 meV per atom; uncorrected energy = -4.958 eV per atom
1.0
3.351 0.000 0.000
0.000 3.202 0.267
0.000 2.545 8.022
Al Br Ru
2 1 1
direct
0.500 0.912 0.213
0.000 0.266 0.858
0.000 0.673 0.453
0.500 0.649 0.975

***

Al2RuBr (PBE-GGA, optimized geometry); ρ = 5.43 Mg/m³; crystal system = orthorhombic; formation energy (no corrections) = 0.285 eV per atom; energy above the lowest structure with this stoichiometry = 696 meV per atom; uncorrected energy = -4.323 eV per atom
1.0
3.094 -0.024 0.000
-1.378 2.770 0.000
0.000 0.000 8.426
Br Ru Al
1 1 2
direct
0.000 0.000 0.489
0.500 0.500 0.776
0.500 0.500 0.249
0.000 0.000 0.985

***

Al2RuBr (PBE-GGA, optimized geometry); ρ = 4.34 Mg/m³; crystal system = monoclinic; formation energy (no corrections) = -0.207 eV per atom; energy above the lowest structure with this stoichiometry = 204 meV per atom; uncorrected energy = -4.815 eV per atom
1.0
4.601 -0.002 0.032
3.440 3.055 0.032
-2.844 -1.080 6.372
Br Al Ru
1 2 1
direct
0.437 0.437 0.506
0.041 0.041 0.069
0.689 0.689 0.829
0.334 0.334 0.096

***

AlRu2Br (PBE-GGA, optimized geometry); ρ = 8.32 Mg/m³; crystal system = trigonal; formation energy (no corrections) = 0.261 eV per atom; energy above the lowest structure with this stoichiometry = 167 meV per atom; uncorrected energy = -5.731 eV per atom
1.0
-2.047 -6.330 -5.157
-2.642 -7.571 -2.559
-4.645 -5.861 -3.864
Al Ru Br
1 2 1
direct
0.250 0.250 0.250
0.503 0.503 0.503
0.997 0.997 0.997
0.750 0.750 0.750

***

AlRuBr (PBE-GGA, optimized geometry); ρ = 5.98 Mg/m³; crystal system = cubic; formation energy (no corrections) = 0.783 eV per atom; energy above the lowest structure with this stoichiometry = 679 meV per atom; uncorrected energy = -4.114 eV per atom
1.0
4.338 0.000 0.000
2.169 3.757 0.000
2.169 1.252 3.542
Al Br Ru
1 1 1
direct
0.750 0.750 0.750
0.000 0.000 0.000
0.500 0.500 0.500

***

AlRu2Br (PBE-GGA, optimized geometry); ρ = 8.03 Mg/m³; crystal system = orthorhombic; formation energy (no corrections) = 0.503 eV per atom; energy above the lowest structure with this stoichiometry = 410 meV per atom; uncorrected energy = -5.489 eV per atom
1.0
5.276 -0.010 0.004
2.087 4.846 -0.004
-2.868 -3.656 2.498
Ru Br Al
2 1 1
direct
0.996 0.996 0.000
0.504 0.504 0.000
0.250 0.750 0.500
0.750 0.250 0.500

***

Al2RuBr (PBE-GGA, optimized geometry); ρ = 5.78 Mg/m³; crystal system = tetragonal; formation energy (no corrections) = 0.170 eV per atom; energy above the lowest structure with this stoichiometry = 580 meV per atom; uncorrected energy = -4.438 eV per atom
1.0
-0.388 4.745 -0.030
-0.702 -0.088 -4.708
-2.937 -0.237 0.443
Br Ru Al
1 1 2
direct
0.500 0.000 0.500
0.000 0.500 0.500
0.500 0.500 0.000
0.000 0.000 0.000

***

AlRu2Br (PBE-GGA, optimized geometry); ρ = 8.39 Mg/m³; crystal system = monoclinic; formation energy (no corrections) = 0.357 eV per atom; energy above the lowest structure with this stoichiometry = 264 meV per atom; uncorrected energy = -5.634 eV per atom
1.0
5.072 -0.001 0.011
4.157 2.906 0.011
1.148 0.361 4.153
Al Br Ru
1 1 2
direct
0.509 0.509 0.423
0.759 0.759 0.813
0.992 0.992 0.941
0.241 0.241 0.323

***

Al4RuBr (PBE-GGA, optimized geometry); ρ = 4.61 Mg/m³; crystal system = cubic; formation energy (no corrections) = 0.377 eV per atom; uncorrected energy = -3.943 eV per atom
1.0
0.000 3.733 3.733
3.733 0.000 3.733
3.733 3.733 0.000
Al Br Ru
4 1 1
direct
0.122 0.626 0.626
0.626 0.626 0.122
0.626 0.626 0.626
0.626 0.122 0.626
0.250 0.250 0.250
0.000 0.000 0.000

***

Al2RuBr (PBE-GGA, optimized geometry); ρ = 3.83 Mg/m³; crystal system = tetragonal; formation energy (no corrections) = 0.313 eV per atom; energy above the lowest structure with this stoichiometry = 724 meV per atom; uncorrected energy = -4.295 eV per atom
1.0
6.197 0.000 0.000
0.000 6.197 0.000
3.098 3.098 5.302
Ru Al Br
2 4 2
direct
0.750 0.250 0.500
0.000 0.000 0.000
0.875 0.930 0.750
0.070 0.625 0.250
0.375 0.320 0.750
0.680 0.125 0.250
0.250 0.750 0.500
0.500 0.500 0.000